The following is a PBE calculation of an optimized crystal structure of Sb3TeP, from the Alexandria database.

Results
calculated volume: 144.8 Å³ per cell
formation energy from raw total energies: 0.548 eV per atom
density: 6.01 g/cm³

The structure in CIF format:
```
data_Sb3TeP
_chemical_formula_sum 'Sb3 Te1 P1'
_symmetry_space_group_name_H-M 'P m -3 m'
_symmetry_Int_Tables_number 221
_symmetry_space_group_name_Hall '-P 4 2 3'
_cell_length_a 5.2514
_cell_length_b 5.2514
_cell_length_c 5.2514
_cell_angle_alpha 90.00
_cell_angle_beta 90.00
_cell_angle_gamma 90.00
loop_
_atom_site_label
_atom_site_type_symbol
_atom_site_fract_x
_atom_site_fract_y
_atom_site_fract_z
_atom_site_occupancy
Sb1 Sb 0.0000 0.0000 0.5000 1
Te1 Te 0.5000 0.5000 0.5000 1
P1 P 0.0000 0.0000 0.0000 1
```